(1)
Sm2DyAgTe5 | the Alexandria database | GGA-PBE | optimized geometry; raw formation energy = -10.4 eV per formula unit
1.0
4.363 0.000 0.000
-2.182 9.406 0.000
0.000 0.000 13.289
Sm Dy Ag Te
4 2 2 10
Cartesian
2.182 7.040 10.682 Sm
0.000 2.092 9.118 Sm
0.000 2.367 4.037 Sm
2.182 7.315 2.473 Sm
2.182 5.798 6.758 Dy
0.000 3.608 0.114 Dy
2.182 1.283 12.767 Ag
0.000 8.124 6.123 Ag
0.000 6.716 13.273 Te
2.182 3.642 11.155 Te
0.000 9.376 10.358 Te
0.000 5.382 8.886 Te
2.182 8.621 7.689 Te
2.182 2.690 6.629 Te
0.000 5.764 4.510 Te
2.182 0.031 3.713 Te
2.182 4.024 2.242 Te
0.000 0.786 1.045 Te

(2)
Sm2DyTl2Ag2 | the Alexandria database | GGA-PBE | optimized geometry; DFT formation energy = -0.18 eV/atom
1.0
4.897 0.000 0.000
2.449 4.241 0.000
2.449 1.414 9.094
Sm Dy Tl Ag
2 1 2 2
Cartesian
2.449 1.414 5.700 Sm
7.346 4.241 3.394 Sm
0.000 0.000 0.000 Dy
7.346 4.241 7.122 Tl
2.449 1.414 1.972 Tl
4.897 2.827 1.572 Ag
4.897 2.827 7.523 Ag

(3)
SmDyZnAg | the Alexandria database | GGA-PBE | optimized geometry; relative energy among the computed polymorphs = 0 kJ/mol of formula units; DFT formation energy = -0.32 eV/atom
1.0
3.634 0.000 0.000
0.000 3.634 0.000
0.000 0.000 7.286
Sm Dy Zn Ag
1 1 1 1
Cartesian
0.000 0.000 6.175 Sm
0.000 0.000 2.649 Dy
1.817 1.817 4.355 Zn
1.817 1.817 0.866 Ag

(4)
SmDyZnAg | the Alexandria database | GGA-PBE | optimized geometry; relative energy among the computed polymorphs = 6 kJ/mol of formula units; DFT formation energy = -0.30 eV/atom
1.0
5.152 0.000 0.000
2.576 4.462 0.000
2.576 1.487 4.207
Zn Ag Sm Dy
1 1 1 1
Cartesian
0.000 0.000 0.000 Zn
5.152 2.975 2.103 Ag
2.576 1.487 1.052 Sm
7.729 4.462 3.155 Dy

(5)
Dy2Ag2Sn3 | the Alexandria database | GGA-PBE | optimized geometry; DFT formation energy = -0.33 eV/atom
1.0
-3.202 2.791 -1.328
1.551 -2.418 -8.822
-1.889 -3.890 3.839
Dy Ag Sn
2 2 3
Cartesian
-1.042 -0.949 -6.938 Dy
-2.499 -2.569 0.627 Dy
-2.742 -1.631 -4.273 Ag
-0.799 -1.886 -2.038 Ag
0.775 -1.209 -4.411 Sn
-1.037 -3.701 -5.279 Sn
-2.504 0.184 -1.032 Sn

(6)
Dy2Ag3Sn | the Alexandria database | GGA-PBE | optimized geometry; DFT formation energy = -0.38 eV/atom
1.0
-1.254 4.321 -3.830
-4.409 -1.808 -3.494
-2.718 1.894 9.033
Dy Ag Sn
4 6 2
Cartesian
-3.401 3.736 0.770 Dy
-2.018 2.837 -3.749 Dy
-4.979 0.671 0.938 Dy
-3.645 -0.324 -3.576 Dy
-5.172 2.409 -4.618 Ag
-6.057 3.263 2.641 Ag
-3.208 1.998 6.327 Ag
-2.323 1.145 -0.932 Ag
-1.849 1.050 1.790 Ag
-6.531 3.358 -0.081 Ag
-4.665 2.298 -1.887 Sn
-3.714 2.109 3.595 Sn

Number 1: electronic total energy -0.351 Ry per atom, total magnetic moment 0.00 μB/f.u., mass density 7.362 g/cm3. Number 2: electronic total energy -0.270 Ry per atom, total magnetic moment 0.00 μB/f.u., mass density 9.563 g/cm3. Number 3: electronic total energy -0.271 Ry per atom, total magnetic moment 0.00 μB/f.u., mass density 8.391 g/cm3. Number 4: electronic total energy -0.269 Ry per atom, total magnetic moment 0.00 μB/f.u., mass density 8.346 g/cm3. Number 5: electronic total energy -0.307 Ry per atom, total magnetic moment 0.00 μB/f.u., mass density 8.111 g/cm3. Number 6: electronic total energy -0.294 Ry per atom, total magnetic moment 0.00 μB/f.u., mass density 9.229 g/cm3.